Version one
SbAu8: optimized geometry, GGA-PBE.

Lattice parameters (Å, degrees): 6.669 6.669 6.669 95.85 95.85 142.75
Element x y z (fractional)
Sb 0.000 0.000 0.000
Au 0.000 0.337 0.337
Au 0.000 0.663 0.663
Au 0.330 0.330 0.661
Au 0.330 0.670 0.000
Au 0.337 0.000 0.337
Au 0.663 0.000 0.663
Au 0.670 0.330 0.000
Au 0.670 0.670 0.339

- symmetry = No. 139
- DOS at the Fermi energy (states/eV/cell) = 4.1
- total magnetic moment (μB/atom) = 0.0000

---

Version two
SbAu8: optimized geometry, GGA-PBE.

Lattice parameters (Å, degrees): 7.416 7.416 7.416 92.78 92.78 154.53
Element x y z (fractional)
Sb 0.000 0.000 0.000
Au 0.000 0.336 0.336
Au 0.000 0.664 0.664
Au 0.330 0.330 0.660
Au 0.330 0.670 0.000
Au 0.336 0.000 0.336
Au 0.664 0.000 0.664
Au 0.670 0.330 0.000
Au 0.670 0.670 0.340

- symmetry = No. 139
- DOS at the Fermi energy (states/eV/cell) = 2.2
- total magnetic moment (μB/atom) = 0.0000

---

Relative to the most stable structure, the computed energies are version one 0; version two 23, all in meV/atom.

---

Version one
Sb4Au: optimized geometry, GGA-PBE.

Lattice parameters (Å, degrees): 5.387 5.387 5.387 90.00 90.00 90.00
Element x y z (fractional)
Sb 0.000 0.000 0.000
Sb 0.000 0.500 0.500
Sb 0.500 0.000 0.500
Sb 0.500 0.500 0.000
Au 0.500 0.500 0.500

- symmetry = No. 221
- DOS at the Fermi energy (states/eV/cell) = 5.8
- total magnetic moment (μB/atom) = 0.0000

---

Version two
Sb4Au: optimized geometry, GGA-PBE.

Lattice parameters (Å, degrees): 6.098 6.072 8.121 90.00 100.74 90.00
Element x y z (fractional)
Sb 0.136 0.170 0.437
Sb 0.136 0.330 0.937
Sb 0.297 0.689 0.751
Sb 0.297 0.811 0.251
Sb 0.703 0.189 0.749
Sb 0.703 0.311 0.249
Sb 0.864 0.670 0.063
Sb 0.864 0.830 0.563
Au 0.500 0.000 0.000
Au 0.500 0.500 0.500

- symmetry = No. 14
- DOS at the Fermi energy (states/eV/cell) = 4.5
- total magnetic moment (μB/atom) = 0.0000

---

Relative to the most stable structure, the computed energies are version one 573; version two 0, all in meV/atom.

---

Version one
Sb4Au5: optimized geometry, GGA-PBE.

Lattice parameters (Å, degrees): 8.927 8.927 5.830 90.00 90.00 120.00
Element x y z (fractional)
Sb 0.000 0.000 0.000
Sb 0.000 0.000 0.500
Sb 0.000 0.389 0.250
Sb 0.000 0.611 0.750
Sb 0.389 0.000 0.250
Sb 0.389 0.389 0.750
Sb 0.611 0.000 0.750
Sb 0.611 0.611 0.250
Au 0.000 0.296 0.750
Au 0.000 0.704 0.250
Au 0.296 0.000 0.750
Au 0.296 0.296 0.250
Au 0.333 0.667 0.000
Au 0.333 0.667 0.500
Au 0.667 0.333 0.000
Au 0.667 0.333 0.500
Au 0.704 0.000 0.250
Au 0.704 0.704 0.750

- symmetry = No. 193
- DOS at the Fermi energy (states/eV/cell) = 7.3
- total magnetic moment (μB/atom) = 0.0000

---

Version two
Sb4Au5: optimized geometry, GGA-PBE.

Lattice parameters (Å, degrees): 7.129 7.129 7.129 95.37 95.37 144.38
Element x y z (fractional)
Sb 0.000 0.296 0.296
Sb 0.000 0.704 0.704
Sb 0.296 0.000 0.296
Sb 0.704 0.000 0.704
Au 0.000 0.000 0.000
Au 0.332 0.332 0.664
Au 0.332 0.668 0.000
Au 0.668 0.332 0.000
Au 0.668 0.668 0.336

- symmetry = No. 139
- DOS at the Fermi energy (states/eV/cell) = 3.4
- total magnetic moment (μB/atom) = 0.0000

---

Version three
Sb4Au5: optimized geometry, GGA-PBE.

Lattice parameters (Å, degrees): 6.993 6.993 6.993 99.10 99.10 133.14
Element x y z (fractional)
Sb 0.131 0.278 0.408
Sb 0.278 0.869 0.147
Sb 0.722 0.131 0.853
Sb 0.869 0.722 0.592
Au 0.000 0.000 0.000
Au 0.193 0.578 0.771
Au 0.422 0.193 0.616
Au 0.578 0.807 0.384
Au 0.807 0.422 0.229

- symmetry = No. 87
- DOS at the Fermi energy (states/eV/cell) = 4.3
- total magnetic moment (μB/atom) = 0.0000

---

Relative to the most stable structure, the computed energies are version one 107; version two 43; version three 0, all in meV/atom.

---

Version one
Sb5Au4: optimized geometry, GGA-PBE.

Lattice parameters (Å, degrees): 8.111 8.111 7.829 90.00 90.00 120.00
Element x y z (fractional)
Sb 0.000 0.248 0.250
Sb 0.000 0.752 0.750
Sb 0.248 0.000 0.250
Sb 0.248 0.248 0.750
Sb 0.333 0.667 0.000
Sb 0.333 0.667 0.500
Sb 0.667 0.333 0.000
Sb 0.667 0.333 0.500
Sb 0.752 0.000 0.750
Sb 0.752 0.752 0.250
Au 0.000 0.000 0.000
Au 0.000 0.000 0.500
Au 0.000 0.412 0.750
Au 0.000 0.588 0.250
Au 0.412 0.000 0.750
Au 0.412 0.412 0.250
Au 0.588 0.000 0.250
Au 0.588 0.588 0.750

- symmetry = No. 193
- DOS at the Fermi energy (states/eV/cell) = 8.0
- total magnetic moment (μB/atom) = 0.0000

---

Version two
Sb5Au4: optimized geometry, GGA-PBE.

Lattice parameters (Å, degrees): 6.835 6.835 6.835 99.66 99.66 131.63
Element x y z (fractional)
Sb 0.000 0.000 0.000
Sb 0.313 0.313 0.627
Sb 0.313 0.687 0.000
Sb 0.687 0.313 0.000
Sb 0.687 0.687 0.373
Au 0.000 0.339 0.339
Au 0.000 0.661 0.661
Au 0.339 0.000 0.339
Au 0.661 0.000 0.661

- symmetry = No. 139
- DOS at the Fermi energy (states/eV/cell) = 4.3
- total magnetic moment (μB/atom) = 0.0000

---

Relative to the most stable structure, the computed energies are version one 0; version two 43, all in meV/atom.

---

Version one
Sc2SbAu2: optimized geometry, GGA-PBE.

Lattice parameters (Å, degrees): 6.341 6.341 6.341 136.58 136.58 63.08
Element x y z (fractional)
Sc 0.250 0.750 0.500
Sc 0.750 0.250 0.500
Sb 0.000 0.000 0.000
Au 0.377 0.377 0.000
Au 0.623 0.623 0.000

- symmetry = No. 139
- DOS at the Fermi energy (states/eV/cell) = 3.8
- total magnetic moment (μB/atom) = 0.0000

---

Version two
Sc2SbAu2: optimized geometry, GGA-PBE.

Lattice parameters (Å, degrees): 7.493 7.493 3.776 90.00 90.00 90.00
Element x y z (fractional)
Sc 0.166 0.334 0.000
Sc 0.334 0.834 0.000
Sc 0.666 0.166 0.000
Sc 0.834 0.666 0.000
Sb 0.000 0.000 0.500
Sb 0.500 0.500 0.500
Au 0.130 0.630 0.500
Au 0.370 0.130 0.500
Au 0.630 0.870 0.500
Au 0.870 0.370 0.500

- symmetry = No. 127
- DOS at the Fermi energy (states/eV/cell) = 4.6
- total magnetic moment (μB/atom) = 0.0000

---

Version three
Sc2SbAu2: optimized geometry, GGA-PBE.

Lattice parameters (Å, degrees): 7.862 7.862 3.539 90.00 90.00 90.00
Element x y z (fractional)
Sc 0.161 0.339 0.000
Sc 0.339 0.839 0.000
Sc 0.661 0.161 0.000
Sc 0.839 0.661 0.000
Sb 0.000 0.000 0.000
Sb 0.500 0.500 0.000
Au 0.131 0.631 0.500
Au 0.369 0.131 0.500
Au 0.631 0.869 0.500
Au 0.869 0.369 0.500

- symmetry = No. 127
- DOS at the Fermi energy (states/eV/cell) = 7.1
- total magnetic moment (μB/atom) = 0.0000

---

Relative to the most stable structure, the computed energies are version one 246; version two 0; version three 106, all in meV/atom.

---

Version one
ScSbAu3: optimized geometry, GGA-PBE.

Lattice parameters (Å, degrees): 5.103 5.103 5.103 90.00 90.00 90.00
Element x y z (fractional)
Sc 0.000 0.000 0.000
Sb 0.500 0.500 0.500
Au 0.000 0.000 0.500
Au 0.000 0.500 0.000
Au 0.500 0.000 0.000

- symmetry = No. 221
- DOS at the Fermi energy (states/eV/cell) = 4.7
- total magnetic moment (μB/atom) = 0.0000

---

Version two
ScSbAu3: optimized geometry, GGA-PBE.

Lattice parameters (Å, degrees): 5.141 5.141 5.141 90.00 90.00 90.00
Element x y z (fractional)
Sc 0.000 0.000 0.000
Sb 0.500 0.500 0.500
Au 0.000 0.500 0.500
Au 0.500 0.000 0.500
Au 0.500 0.500 0.000

- symmetry = No. 221
- DOS at the Fermi energy (states/eV/cell) = 5.4
- total magnetic moment (μB/atom) = 0.1557

---

Relative to the most stable structure, the computed energies are version one 108; version two 0, all in meV/atom.

---

Version one
ScSb2TeAu: optimized geometry, GGA-PBE.

Lattice parameters (Å, degrees): 5.472 5.472 5.369 90.00 90.00 90.00
Element x y z (fractional)
Sc 0.000 0.000 0.000
Sb 0.000 0.500 0.000
Sb 0.500 0.000 0.000
Te 0.000 0.000 0.500
Au 0.500 0.500 0.500

- symmetry = No. 123
- DOS at the Fermi energy (states/eV/cell) = 3.9
- total magnetic moment (μB/atom) = 0.0000

---

Version two
ScSb2TeAu: optimized geometry, GGA-PBE.

Lattice parameters (Å, degrees): 5.325 5.325 5.483 90.00 90.00 90.00
Element x y z (fractional)
Sc 0.000 0.000 0.000
Sb 0.000 0.500 0.500
Sb 0.500 0.000 0.500
Te 0.500 0.500 0.000
Au 0.500 0.500 0.500

- symmetry = No. 123
- DOS at the Fermi energy (states/eV/cell) = 5.5
- total magnetic moment (μB/atom) = 0.0000

---

Relative to the most stable structure, the computed energies are version one 0; version two 56, all in meV/atom.

---

Version one
ScSbTe2Au: optimized geometry, GGA-PBE.

Lattice parameters (Å, degrees): 5.471 5.471 5.245 90.00 90.00 90.00
Element x y z (fractional)
Sc 0.000 0.000 0.000
Sb 0.500 0.500 0.000
Te 0.000 0.500 0.500
Te 0.500 0.000 0.500
Au 0.500 0.500 0.500

- symmetry = No. 123
- DOS at the Fermi energy (states/eV/cell) = 4.3
- total magnetic moment (μB/atom) = 0.0000

---

Version two
ScSbTe2Au: optimized geometry, GGA-PBE.

Lattice parameters (Å, degrees): 5.431 5.431 5.551 90.00 90.00 90.00
Element x y z (fractional)
Sc 0.000 0.000 0.000
Sb 0.000 0.000 0.500
Te 0.000 0.500 0.000
Te 0.500 0.000 0.000
Au 0.500 0.500 0.500

- symmetry = No. 123
- DOS at the Fermi energy (states/eV/cell) = 5.9
- total magnetic moment (μB/atom) = 0.0000

---

Relative to the most stable structure, the computed energies are version one 64; version two 0, all in meV/atom.